Model A:
Ba2AlN: relaxed, PBE-GGA.

Magnetic moment, μB per formula unit: 0.0

```
data_Ba2AlN
_chemical_formula_sum 'Ba8 Al4 N4'
_cell_length_a 7.899
_cell_length_b 7.899
_cell_length_c 8.940
_cell_angle_alpha 90.00
_cell_angle_beta 90.00
_cell_angle_gamma 90.00
_space_group_name_H-M_alt 'P 1'
_space_group_IT_number 1
loop_
_space_group_symop_operation_xyz
'x,y,z'
loop_
_atom_site_label
_atom_site_fract_x
_atom_site_fract_y
_atom_site_fract_z
_atom_site_occupancy
Ba1 0.156 0.250 0.125 1
Ba2 0.250 0.656 0.375 1
Ba3 0.250 0.844 0.875 1
Ba4 0.344 0.250 0.625 1
Ba5 0.656 0.750 0.625 1
Ba6 0.750 0.156 0.875 1
Ba7 0.750 0.344 0.375 1
Ba8 0.844 0.750 0.125 1
Al1 0.000 0.000 0.500 1
Al2 0.000 0.500 0.750 1
Al3 0.500 0.000 0.250 1
Al4 0.500 0.500 0.000 1
N1 0.000 0.000 0.000 1
N2 0.000 0.500 0.250 1
N3 0.500 0.000 0.750 1
N4 0.500 0.500 0.500 1
```


Model B:
Ba2AlN: relaxed, PBE-GGA.

Magnetic moment, μB per formula unit: 0.0

```
data_Ba2AlN
_chemical_formula_sum 'Ba8 Al4 N4'
_cell_length_a 7.732
_cell_length_b 7.732
_cell_length_c 7.732
_cell_angle_alpha 90.00
_cell_angle_beta 90.00
_cell_angle_gamma 90.00
_space_group_name_H-M_alt 'P 1'
_space_group_IT_number 1
loop_
_space_group_symop_operation_xyz
'x,y,z'
loop_
_atom_site_label
_atom_site_fract_x
_atom_site_fract_y
_atom_site_fract_z
_atom_site_occupancy
Ba1 0.250 0.250 0.250 1
Ba2 0.250 0.250 0.750 1
Ba3 0.250 0.750 0.250 1
Ba4 0.250 0.750 0.750 1
Ba5 0.750 0.250 0.250 1
Ba6 0.750 0.250 0.750 1
Ba7 0.750 0.750 0.250 1
Ba8 0.750 0.750 0.750 1
Al1 0.000 0.000 0.000 1
Al2 0.000 0.500 0.500 1
Al3 0.500 0.000 0.500 1
Al4 0.500 0.500 0.000 1
N1 0.000 0.000 0.500 1
N2 0.000 0.500 0.000 1
N3 0.500 0.000 0.000 1
N4 0.500 0.500 0.500 1
```


The energy of each structure relative to the most stable one, in eV/atom, is as follows: model A 0.000; model B 0.479.